Density functional theory data (GGA-PBE) for a relaxed structure of LuZn2Ni.

a b c (Å): 4.1284 4.1284 14.0790
angles (deg): 90.00 90.00 120.00
Space group R-3m (No. 166, hexagonal axes)
Symmetry-distinct sites (fractional):
Lu1 0.0000 0.0000 0.0000 x3
Zn1 0.0000 0.0000 0.2118 x6
Ni1 0.0000 0.0000 0.5000 x3

Output
E_form in eV/atom: -0.27

***

Density functional theory data (GGA-PBE) for a relaxed structure of LuZn2Ni.

a b c (Å): 6.364 6.364 6.364
angles (deg): 90.00 90.00 90.00
Space group Fm-3m (No. 225)
Symmetry-distinct sites (fractional):
Lu1 0.000 0.000 0.000 x4
Zn1 0.250 0.250 0.250 x8
Ni1 0.000 0.000 0.500 x4

Output
E_form in eV/atom: -0.23

***

Density functional theory data (GGA-PBE) for a relaxed structure of LuZnNi2.

a b c (Å): 4.220 4.220 3.379
angles (deg): 90.00 90.00 90.00
Space group P4/mmm (No. 123)
Symmetry-distinct sites (fractional):
Lu1 0.000 0.000 0.000 x1
Zn1 0.500 0.500 0.000 x1
Ni1 0.000 0.500 0.500 x2

Output
E_form in eV/atom: -0.29

***

Result set for final energy: -3.48 -3.45 -4.63 eV/atom, one per record in the order listed.